No. 1
The following is a PBEsol calculation of an optimized crystal structure of Ba2AsBr, from Alexandria.

Unit cell a=5.151 b=4.287 c=12.228 alpha=90.00 beta=90.00 gamma=90.00
Space group Amm2 (No. 38)
Unique sites:
Ba 0.000 0.000 0.000 [2 per cell]
Ba 0.500 0.000 0.240 [2 per cell]
As 0.000 0.000 0.737 [2 per cell]
Br 0.500 0.000 0.500 [2 per cell]

## Properties
Spin magnetization = 0.00 μB per cell
Raw formation energy = -1.41 eV per atom

No. 2
The following is a PBEsol calculation of an optimized crystal structure of MnIn2Rh, from Alexandria.

Unit cell a=3.054 b=3.054 c=7.608 alpha=90.00 beta=90.00 gamma=90.00
Space group P4mm (No. 99)
Unique sites:
Mn 0.000 0.000 0.000 [1 per cell]
In 0.000 0.000 0.420 [1 per cell]
In 0.500 0.500 0.759 [1 per cell]
Rh 0.500 0.500 0.191 [1 per cell]

## Properties
Spin magnetization = 4.04 μB per cell
ΔE_f = 0.02 eV/atom

No. 3
The following is a PBEsol calculation of an optimized crystal structure of SrNiTe2, from Alexandria.

Unit cell a=10.368 b=3.931 c=6.239 alpha=90.00 beta=114.45 gamma=90.00
Space group C2/m (No. 12)
Unique sites:
Sr 0.000 0.000 0.000 [2 per cell]
Ni 0.000 0.000 0.500 [2 per cell]
Te 0.143 0.500 0.732 [4 per cell]

## Properties
Spin magnetization = 0.00 μB per cell
Raw formation energy = -0.71 eV per atom

No. 4
The following is a PBEsol calculation of an optimized crystal structure of RbNi3Pt, from Alexandria.

Unit cell a=4.369 b=4.369 c=4.369 alpha=90.00 beta=90.00 gamma=90.00
Space group Pm-3m (No. 221)
Unique sites:
Rb 0.000 0.000 0.000 [1 per cell]
Ni 0.000 0.000 0.500 [3 per cell]
Pt 0.500 0.500 0.500 [1 per cell]

## Properties
Spin magnetization = 0.00 μB per cell
ΔE_f = 2.26 eV/atom

No. 5
The following is a PBEsol calculation of an optimized crystal structure of BeWCl2, from Alexandria.

Unit cell a=5.499 b=8.266 c=2.858 alpha=90.00 beta=110.02 gamma=90.00
Space group C2/m (No. 12)
Unique sites:
Be 0.000 0.000 0.000 [2 per cell]
W 0.000 0.500 0.000 [2 per cell]
Cl 0.250 0.250 0.000 [4 per cell]

## Properties
Spin magnetization = 0.01 μB per cell
E above lowest polymorph = 837 meV per atom
Raw formation energy = 0.67 eV per atom

No. 6
The following is a PBEsol calculation of an optimized crystal structure of Hg3Br2, from Alexandria.

Unit cell a=11.633 b=12.962 c=7.261 alpha=90.00 beta=90.00 gamma=90.00
Space group Fdd2 (No. 43)
Unique sites:
Hg 0.000 0.000 0.000 [8 per cell]
Hg 0.058 0.346 0.137 [16 per cell]
Br 0.117 0.330 0.714 [16 per cell]

## Properties
Spin magnetization = 0.00 μB per cell
Raw formation energy = -0.21 eV per atom

No. 7
The following is a PBEsol calculation of an optimized crystal structure of Be2SO, from Alexandria.

Unit cell a=4.337 b=4.337 c=8.597 alpha=90.00 beta=90.00 gamma=90.00
Space group I-42d (No. 122)
Unique sites:
Be 0.176 0.250 0.125 [8 per cell]
S 0.000 0.000 0.500 [4 per cell]
O 0.000 0.000 0.000 [4 per cell]

## Properties
Spin magnetization = 0.00 μB per cell
Raw formation energy = -1.74 eV per atom

No. 8
The following is a PBEsol calculation of an optimized crystal structure of Li6Zr2O7, from Alexandria.

Unit cell a=10.393 b=5.960 c=10.155 alpha=90.00 beta=100.25 gamma=90.00
Space group C2/c (No. 15)
Unique sites:
Li 0.061 0.144 0.087 [8 per cell]
Li 0.067 0.400 0.603 [8 per cell]
Li 0.207 0.129 0.894 [8 per cell]
Zr 0.183 0.380 0.365 [8 per cell]
O 0.000 0.346 0.250 [4 per cell]
O 0.121 0.377 0.979 [8 per cell]
O 0.132 0.131 0.502 [8 per cell]
O 0.247 0.385 0.744 [8 per cell]

## Properties
Spin magnetization = 0.00 μB per cell
Raw formation energy = -2.61 eV per atom